Below is crystalline ScTa2Tc at its relaxed geometry, with properties calculated at the PBE-GGA level.

Output
**Formation energy**: 7 meV per atom
**Fermi-level density of states**: 4.8 states/eV/f.u.
**Total energy**: -40.37 eV for the cell shown

```
data_ScTa2Tc
_space_group_name_H-M_alt 'P m m m'
_space_group_IT_number 47
_space_group_name_Hall '-P 2 2'
_cell_length_a 3.291
_cell_length_b 4.508
_cell_length_c 4.767
_cell_angle_alpha 90.00
_cell_angle_beta 90.00
_cell_angle_gamma 90.00
loop_
_atom_site_label
_atom_site_type_symbol
_atom_site_fract_x
_atom_site_fract_y
_atom_site_fract_z
Sc1 Sc 0.000 0.000 0.000
Ta1 Ta 0.000 0.500 0.500
Ta2 Ta 0.500 0.000 0.500
Tc1 Tc 0.500 0.500 0.000
```